# BeNb2Al

A relaxed BeNb2Al crystal (PBE, the Alexandria database).

a b c (Å): 5.591 5.591 5.591
angles (deg): 103.32 103.32 122.63
Atoms (fractional coordinates):
Be (0.000, 0.000, 0.000)
Be (0.750, 0.250, 0.500)
Nb (0.105, 0.625, 0.980)
Nb (0.375, 0.355, 0.480)
Nb (0.645, 0.125, 0.020)
Nb (0.875, 0.895, 0.520)
Al (0.250, 0.750, 0.500)
Al (0.500, 0.500, 0.000)

M_tot   0.0 μB/f.u.
Space group   I-42d (122)
Formation energy from the elements   240 meV/atom
Energy above the lowest structure with this stoichiometry   461 meV/atom